Al3W2 | Alexandria | GGA-PBE | optimized geometry; polymorph energy (0 for the lowest one) = 0.06 eV per formula unit; ΔH_f (0 K) = 31 kJ/mol of formula units; calculated volume = 15.58 Å³/atom; E = -7.363 eV per atom; total magnetic moment = 0.0 μB per formula unit
1.0
-8.122 0.339 1.685
-5.997 3.556 -1.960
-3.126 -4.173 -0.985
Al W
6 4
direct
0.478 0.722 0.465
0.334 0.465 0.722
0.528 0.772 0.916
0.785 0.916 0.772
0.917 0.083 0.083
0.167 0.333 0.333
0.918 0.176 0.553
0.353 0.553 0.176
0.074 0.332 0.897
0.697 0.897 0.332